A plane-wave DFT calculation with GGA-PBE was carried out for crystalline AlGaSn at its relaxed geometry.

Cell and atoms, written as CIF:
```
data_AlGaSn
_chemical_formula_sum 'Al2 Ga2 Sn2'
_cell_length_a 3.0609
_cell_length_b 3.9371
_cell_length_c 10.7213
_cell_angle_alpha 89.81
_cell_angle_beta 88.61
_cell_angle_gamma 89.71
_symmetry_space_group_name_H-M 'P -1'
_symmetry_Int_Tables_number 2
_symmetry_space_group_name_Hall '-P 1'
loop_
_atom_site_label
_atom_site_type_symbol
_atom_site_fract_x
_atom_site_fract_y
_atom_site_fract_z
Al1 Al 0.1994 0.2497 0.3014
Ga1 Ga 0.2950 0.2502 0.5775
Sn1 Sn 0.4820 0.2513 0.8839
```

Calculated values
The calculation puts the mass density at 5.54 Mg/m³. The energy of formation comes out at 0.23 eV per formula unit. The crystal system is triclinic. The size of the total moment comes out at 0.0000 μB/atom. The density of states at the Fermi level is 0.9 states/eV/f.u.

A plane-wave DFT calculation with GGA-PBE was carried out for crystalline Al2GaSn at its relaxed geometry.

Cell and atoms, written as CIF:
```
data_Al2GaSn
_chemical_formula_sum 'Al2 Ga1 Sn1'
_cell_length_a 4.3583
_cell_length_b 4.3583
_cell_length_c 4.2457
_cell_angle_alpha 90.00
_cell_angle_beta 90.00
_cell_angle_gamma 90.00
_symmetry_space_group_name_H-M 'P 4/m m m'
_symmetry_Int_Tables_number 123
_symmetry_space_group_name_Hall '-P 4 2'
loop_
_atom_site_label
_atom_site_type_symbol
_atom_site_fract_x
_atom_site_fract_y
_atom_site_fract_z
Al1 Al 0.0000 0.5000 0.0000
Ga1 Ga 0.0000 0.0000 0.5000
Sn1 Sn 0.5000 0.5000 0.5000
```

Calculated values
The calculation puts the mass density at 4.99 Mg/m³. The energy of formation comes out at 0.54 eV per formula unit. The crystal system is tetragonal. The size of the total moment comes out at 0.0000 μB/atom. The density of states at the Fermi level is 1.4 states/eV/f.u.

A plane-wave DFT calculation with GGA-PBE was carried out for crystalline AlGaSn at its relaxed geometry.

Cell and atoms, written as CIF:
```
data_AlGaSn
_chemical_formula_sum 'Al1 Ga1 Sn1'
_cell_length_a 4.7631
_cell_length_b 4.7631
_cell_length_c 3.3098
_cell_angle_alpha 90.00
_cell_angle_beta 90.00
_cell_angle_gamma 120.00
_symmetry_space_group_name_H-M 'P 3 m 1'
_symmetry_Int_Tables_number 156
_symmetry_space_group_name_Hall 'P 3 -2"'
loop_
_atom_site_label
_atom_site_type_symbol
_atom_site_fract_x
_atom_site_fract_y
_atom_site_fract_z
Al1 Al 0.0000 0.0000 0.0000
Ga1 Ga 0.3333 0.6667 0.9927
Sn1 Sn 0.6667 0.3333 0.4972
```

Calculated values
The calculation puts the mass density at 5.50 Mg/m³. The energy of formation comes out at 0.36 eV per formula unit. The crystal system is trigonal. The size of the total moment comes out at 0.0000 μB/atom. The density of states at the Fermi level is 1.0 states/eV/f.u.

A plane-wave DFT calculation with GGA-PBE was carried out for crystalline AlGa2Sn at its relaxed geometry.

Cell and atoms, written as CIF:
```
data_AlGa2Sn
_chemical_formula_sum 'Al4 Ga8 Sn4'
_cell_length_a 6.9437
_cell_length_b 6.9437
_cell_length_c 6.9437
_cell_angle_alpha 90.00
_cell_angle_beta 90.00
_cell_angle_gamma 90.00
_symmetry_space_group_name_H-M 'F m -3 m'
_symmetry_Int_Tables_number 225
_symmetry_space_group_name_Hall '-F 4 2 3'
loop_
_atom_site_label
_atom_site_type_symbol
_atom_site_fract_x
_atom_site_fract_y
_atom_site_fract_z
Al1 Al 0.0000 0.0000 0.0000
Ga1 Ga 0.2500 0.2500 0.2500
Sn1 Sn 0.0000 0.0000 0.5000
```

Calculated values
The calculation puts the mass density at 5.66 Mg/m³. The energy of formation comes out at 0.49 eV per formula unit. The crystal system is cubic. The size of the total moment comes out at 0.0000 μB/atom. The density of states at the Fermi level is 1.8 states/eV/f.u.

A plane-wave DFT calculation with GGA-PBE was carried out for crystalline Al2GaSn2 at its relaxed geometry.

Cell and atoms, written as CIF:
```
data_Al2GaSn2
_chemical_formula_sum 'Al4 Ga2 Sn4'
_cell_length_a 3.9021
_cell_length_b 3.9021
_cell_length_c 15.5572
_cell_angle_alpha 90.00
_cell_angle_beta 90.00
_cell_angle_gamma 90.00
_symmetry_space_group_name_H-M 'I 4/m m m'
_symmetry_Int_Tables_number 139
_symmetry_space_group_name_Hall '-I 4 2'
loop_
_atom_site_label
_atom_site_type_symbol
_atom_site_fract_x
_atom_site_fract_y
_atom_site_fract_z
Al1 Al 0.0000 0.5000 0.2500
Ga1 Ga 0.0000 0.0000 0.0000
Sn1 Sn 0.0000 0.0000 0.3924
```

Calculated values
The calculation puts the mass density at 5.06 Mg/m³. The energy of formation comes out at 0.80 eV per formula unit. The crystal system is tetragonal. The size of the total moment comes out at 0.0000 μB/atom. The density of states at the Fermi level is 2.3 states/eV/f.u.

A plane-wave DFT calculation with GGA-PBE was carried out for crystalline Al2Ga7Sn at its relaxed geometry.

Cell and atoms, written as CIF:
```
data_Al2Ga7Sn
_chemical_formula_sum 'Al4 Ga14 Sn2'
_cell_length_a 7.4845
_cell_length_b 13.0409
_cell_length_c 4.8638
_cell_angle_alpha 90.00
_cell_angle_beta 90.00
_cell_angle_gamma 90.00
_symmetry_space_group_name_H-M 'C m m m'
_symmetry_Int_Tables_number 65
_symmetry_space_group_name_Hall '-C 2 2'
loop_
_atom_site_label
_atom_site_type_symbol
_atom_site_fract_x
_atom_site_fract_y
_atom_site_fract_z
Al1 Al 0.0000 0.2073 0.0000
Ga1 Ga 0.0000 0.0000 0.0000
Ga2 Ga 0.0000 0.2763 0.5000
Ga3 Ga 0.1870 0.3941 0.0000
Sn1 Sn 0.0000 0.5000 0.5000
```

Calculated values
The calculation puts the mass density at 4.62 Mg/m³. The energy of formation comes out at 2.02 eV per formula unit. The crystal system is orthorhombic. The size of the total moment comes out at 0.0000 μB/atom. The density of states at the Fermi level is 4.8 states/eV/f.u.